WN2O2 after structural relaxation, computed with GGA+U.

The calculation puts the density of states at the Fermi level at 0.008 states/eV per atom. The symmetry is P4/mbm, No. 127. Its relative energy among the computed polymorphs is 0.0000 eV per atom.

abc: 5.502 5.502 6.792
angles: 90.00 90.00 90.00
Last column: magnetic moment on the atom in μB.
Fractional positions:
1 O 0.254 0.754 0.000  -0.14
2 O 0.754 0.746 0.000  -0.14
3 O 0.746 0.246 0.000  -0.14
4 O 0.246 0.254 0.000  -0.14
5 W 0.000 0.000 0.000  1.90
6 W 0.500 0.500 0.000  1.90
7 N 0.072 0.572 0.500  0.01
8 N 0.572 0.928 0.500  0.01
9 N 0.928 0.428 0.500  0.01
10 N 0.428 0.072 0.500  0.01